# 1
Ac2Al3Ga4Pd, relaxed, DFT PBE-GGA; space group = P-4m2; formation enthalpy at 0 K = -5.481 eV per formula unit
1.0
4.501 0.000 0.000
0.000 4.501 0.000
0.000 0.000 10.654
Ac Al Ga Pd
2 3 4 1
direct
0.000 0.500 0.248
0.500 0.000 0.752
0.000 0.000 0.000
0.000 0.500 0.631
0.500 0.000 0.369
0.000 0.000 0.500
0.000 0.500 0.874
0.500 0.000 0.126
0.500 0.500 0.500
0.500 0.500 0.000



# 2
Ac2AlGa4Pd3, relaxed, DFT PBE-GGA; space group = P-4m2; formation enthalpy at 0 K = -7.413 eV per formula unit
1.0
4.423 0.000 0.000
0.000 4.423 0.000
0.000 0.000 10.766
Ac Al Ga Pd
2 1 4 3
direct
0.000 0.500 0.246
0.500 0.000 0.754
0.000 0.000 0.500
0.000 0.000 0.000
0.000 0.500 0.634
0.500 0.000 0.366
0.500 0.500 0.000
0.000 0.500 0.874
0.500 0.000 0.126
0.500 0.500 0.500



# 3
AcPm2Al2Ga2, relaxed, DFT PBE-GGA; space group = R-3m; formation enthalpy at 0 K = -2.847 eV per formula unit
1.0
2.222 1.283 10.704
-2.222 1.283 10.704
0.000 -2.565 10.704
Ac Pm Al Ga
1 2 2 2
direct
0.000 0.000 0.000
0.131 0.131 0.131
0.869 0.869 0.869
0.256 0.256 0.256
0.744 0.744 0.744
0.403 0.403 0.403
0.597 0.597 0.597